## w
Entry from Alexandria: PbW2Se after structural relaxation (GGA-PBEsol).

abc: 4.743 4.743 5.655
angles: 101.16 101.16 39.28
Atoms (fractional coordinates):
Pb1 0.000 0.000 0.000
W1 0.483 0.483 0.490
W2 0.765 0.765 0.278
Se1 0.220 0.220 0.612

Values from the calculation:
Spin magnetization: 0.000 μB per formula unit

## x
Entry from Alexandria: PbW2Se after structural relaxation (GGA-PBEsol).

abc: 2.944 2.944 9.740
angles: 90.00 90.00 111.44
Atoms (fractional coordinates):
Pb1 0.000 0.000 0.000
W1 0.000 0.000 0.467
W2 0.500 0.500 0.259
Se1 0.500 0.500 0.672

Values from the calculation:
Spin magnetization: 0.000 μB per formula unit

## y
Entry from Alexandria: PbW2Se after structural relaxation (GGA-PBEsol).

abc: 4.435 4.435 5.931
angles: 101.86 101.86 40.82
Atoms (fractional coordinates):
Pb1 0.000 0.000 0.000
W1 0.242 0.242 0.685
W2 0.758 0.758 0.315
Se1 0.500 0.500 0.500

Values from the calculation:
Spin magnetization: 0.000 μB per formula unit

Most stable to least stable, the ends of the list are x and y.

## w
Entry from Alexandria: Y2PbSe after structural relaxation (GGA-PBEsol).

abc: 4.227 4.227 5.965
angles: 90.00 90.00 90.00
Atoms (fractional coordinates):
Y1 0.000 0.000 0.000
Y2 0.500 0.500 0.500
Pb1 0.000 0.000 0.500
Se1 0.500 0.500 0.000

Values from the calculation:
Spin magnetization: 0.000 μB per formula unit

## x
Entry from Alexandria: Y2PbSe after structural relaxation (GGA-PBEsol).

abc: 7.412 7.412 7.412
angles: 32.65 32.65 32.65
Atoms (fractional coordinates):
Y1 0.245 0.245 0.245
Y2 0.755 0.755 0.755
Pb1 0.000 0.000 0.000
Se1 0.500 0.500 0.500

Values from the calculation:
Spin magnetization: 0.000 μB per formula unit

Most stable to least stable, the ends of the list are w and x.

## w
Entry from Alexandria: Zn2PbSe after structural relaxation (GGA-PBEsol).

abc: 4.876 4.876 4.876
angles: 60.00 60.00 60.00
Atoms (fractional coordinates):
Zn1 0.250 0.250 0.250
Zn2 0.750 0.750 0.750
Pb1 0.000 0.000 0.000
Se1 0.500 0.500 0.500

Values from the calculation:
Spin magnetization: 0.000 μB per formula unit

## x
Entry from Alexandria: Zn2PbSe after structural relaxation (GGA-PBEsol).

abc: 3.468 3.468 6.816
angles: 90.00 90.00 95.33
Atoms (fractional coordinates):
Zn1 0.000 0.000 0.201
Zn2 0.000 0.000 0.799
Pb1 0.500 0.500 0.500
Se1 0.500 0.500 0.000

Values from the calculation:
Spin magnetization: 0.000 μB per formula unit

## y
Entry from Alexandria: Zn2PbSe after structural relaxation (GGA-PBEsol).

abc: 3.765 4.361 5.110
angles: 90.00 90.00 90.00
Atoms (fractional coordinates):
Zn1 0.000 0.000 0.000
Zn2 0.500 0.000 0.500
Pb1 0.000 0.500 0.500
Se1 0.500 0.500 0.000

Values from the calculation:
Spin magnetization: 0.000 μB per formula unit

Most stable to least stable, the ends of the list are x and w.

## w
Entry from Alexandria: Si2Pb after structural relaxation (GGA-PBEsol).

abc: 4.726 4.726 4.726
angles: 60.00 60.00 60.00
Atoms (fractional coordinates):
Si1 0.250 0.250 0.250
Si2 0.750 0.750 0.750
Pb1 0.000 0.000 0.000

Values from the calculation:
Spin magnetization: 0.000 μB per formula unit

## x
Entry from Alexandria: Si2Pb after structural relaxation (GGA-PBEsol).

abc: 6.534 6.534 5.412
angles: 90.00 90.00 146.37
Atoms (fractional coordinates):
Si1 0.014 0.986 0.750
Si2 0.370 0.630 0.250
Si3 0.630 0.370 0.750
Si4 0.986 0.014 0.250
Pb1 0.319 0.681 0.750
Pb2 0.681 0.319 0.250

Values from the calculation:
Spin magnetization: 0.000 μB per formula unit

## y
Entry from Alexandria: Si2Pb after structural relaxation (GGA-PBEsol).

abc: 5.020 5.020 5.647
angles: 90.00 90.00 120.00
Atoms (fractional coordinates):
Si1 0.000 0.000 0.000
Si2 0.000 0.000 0.500
Si3 0.333 0.667 0.250
Si4 0.667 0.333 0.750
Pb1 0.333 0.667 0.750
Pb2 0.667 0.333 0.250

Values from the calculation:
Spin magnetization: 0.000 μB per formula unit

Most stable to least stable, the ends of the list are x and w.

## w
Entry from Alexandria: Sr2SiPb after structural relaxation (GGA-PBEsol).

abc: 6.362 6.362 6.362
angles: 136.94 136.94 62.54
Atoms (fractional coordinates):
Sr1 0.000 0.000 0.000
Sr2 0.750 0.250 0.500
Si1 0.250 0.750 0.500
Pb1 0.500 0.500 0.000

Values from the calculation:
Spin magnetization: 0.000 μB per formula unit

## x
Entry from Alexandria: Sr2SiPb after structural relaxation (GGA-PBEsol).

abc: 3.541 4.410 7.403
angles: 90.00 90.00 90.00
Atoms (fractional coordinates):
Sr1 0.000 0.000 0.228
Sr2 0.000 0.000 0.772
Si1 0.500 0.500 0.000
Pb1 0.500 0.500 0.500

Values from the calculation:
Spin magnetization: 0.000 μB per formula unit

Most stable to least stable, the ends of the list are x and w.

## w
Entry from Alexandria: Ta2SiPb after structural relaxation (GGA-PBEsol).

abc: 5.083 5.083 5.083
angles: 138.17 122.30 73.77
Atoms (fractional coordinates):
Ta1 0.216 0.216 0.000
Ta2 0.784 0.784 0.000
Si1 0.000 0.500 0.500
Pb1 0.500 0.000 0.500

Values from the calculation:
Spin magnetization: 0.000 μB per formula unit

## x
Entry from Alexandria: Ta2SiPb after structural relaxation (GGA-PBEsol).

abc: 4.870 4.870 4.925
angles: 96.88 96.88 39.98
Atoms (fractional coordinates):
Ta1 0.248 0.248 0.280
Ta2 0.752 0.752 0.720
Si1 0.000 0.000 0.500
Pb1 0.500 0.500 0.000

Values from the calculation:
Spin magnetization: 0.000 μB per formula unit

## y
Entry from Alexandria: Ta2SiPb after structural relaxation (GGA-PBEsol).

abc: 5.260 5.260 5.260
angles: 134.93 134.93 65.64
Atoms (fractional coordinates):
Ta1 0.000 0.000 0.000
Ta2 0.750 0.250 0.500
Si1 0.250 0.750 0.500
Pb1 0.500 0.500 0.000

Values from the calculation:
Spin magnetization: 0.000 μB per formula unit

Most stable to least stable, the ends of the list are w and y.

## w
Entry from Alexandria: SiTe2Pb after structural relaxation (GGA-PBEsol).

abc: 4.020 3.832 7.387
angles: 90.00 105.01 90.00
Atoms (fractional coordinates):
Si1 0.000 0.000 0.000
Te1 0.356 0.500 0.235
Te2 0.644 0.500 0.765
Pb1 0.000 0.000 0.500

Values from the calculation:
Spin magnetization: 0.000 μB per formula unit

## x
Entry from Alexandria: SiTe2Pb after structural relaxation (GGA-PBEsol).

abc: 7.678 7.678 4.190
angles: 105.10 105.10 28.48
Atoms (fractional coordinates):
Si1 0.000 0.000 0.000
Te1 0.347 0.347 0.897
Te2 0.562 0.562 0.631
Pb1 0.738 0.738 0.278

Values from the calculation:
Spin magnetization: 0.000 μB per formula unit

Most stable to least stable, the ends of the list are x and w.

## w
Entry from Alexandria: Si2TePb after structural relaxation (GGA-PBEsol).

abc: 7.194 7.194 7.194
angles: 32.00 32.00 32.00
Atoms (fractional coordinates):
Si1 0.249 0.249 0.249
Si2 0.751 0.751 0.751
Te1 0.500 0.500 0.500
Pb1 0.000 0.000 0.000

Values from the calculation:
Spin magnetization: 0.000 μB per formula unit

## x
Entry from Alexandria: Si2TePb after structural relaxation (GGA-PBEsol).

abc: 4.431 3.801 5.964
angles: 90.00 104.66 90.00
Atoms (fractional coordinates):
Si1 0.000 0.000 0.000
Si2 0.310 0.500 0.966
Te1 0.798 0.500 0.314
Pb1 0.466 0.000 0.626

Values from the calculation:
Spin magnetization: 0.000 μB per formula unit

## y
Entry from Alexandria: Si2TePb after structural relaxation (GGA-PBEsol).

abc: 5.080 3.845 5.285
angles: 90.00 103.76 90.00
Atoms (fractional coordinates):
Si1 0.177 0.000 0.191
Si2 0.823 0.000 0.809
Te1 0.000 0.500 0.500
Pb1 0.500 0.500 0.000

Values from the calculation:
Spin magnetization: 0.000 μB per formula unit

## z
Entry from Alexandria: Si2TePb after structural relaxation (GGA-PBEsol).

abc: 5.685 5.685 6.425
angles: 124.37 124.37 37.21
Atoms (fractional coordinates):
Si1 0.233 0.233 0.112
Si2 0.767 0.767 0.888
Te1 0.500 0.500 0.000
Pb1 0.000 0.000 0.500

Values from the calculation:
Spin magnetization: 0.000 μB per formula unit

Most stable to least stable, the ends of the list are x and w.

## w
Entry from Alexandria: Y2SiPb after structural relaxation (GGA-PBEsol).

abc: 6.072 6.072 6.072
angles: 139.54 137.78 59.90
Atoms (fractional coordinates):
Y1 0.000 0.000 0.000
Y2 0.746 0.246 0.500
Si1 0.493 0.493 0.000
Pb1 0.257 0.757 0.500

Values from the calculation:
Spin magnetization: 0.000 μB per formula unit

## x
Entry from Alexandria: Y2SiPb after structural relaxation (GGA-PBEsol).

abc: 8.439 8.439 8.439
angles: 26.67 26.67 26.67
Atoms (fractional coordinates):
Y1 0.236 0.236 0.236
Y2 0.764 0.764 0.764
Si1 0.500 0.500 0.500
Pb1 0.000 0.000 0.000

Values from the calculation:
Spin magnetization: 0.000 μB per formula unit

## y
Entry from Alexandria: Y2SiPb after structural relaxation (GGA-PBEsol).

abc: 3.338 3.338 8.501
angles: 90.00 90.00 90.00
Atoms (fractional coordinates):
Y1 0.000 0.000 0.216
Y2 0.000 0.000 0.784
Si1 0.500 0.500 0.000
Pb1 0.500 0.500 0.500

Values from the calculation:
Spin magnetization: 0.000 μB per formula unit

## z
Entry from Alexandria: Y2SiPb after structural relaxation (GGA-PBEsol).

abc: 5.164 5.164 5.164
angles: 60.00 60.00 60.00
Atoms (fractional coordinates):
Y1 0.250 0.250 0.250
Y2 0.750 0.750 0.750
Si1 0.000 0.000 0.000
Pb1 0.500 0.500 0.500

Values from the calculation:
Spin magnetization: 0.000 μB per formula unit

Most stable to least stable, the ends of the list are y and z.

## w
Entry from Alexandria: ZnSiPb after structural relaxation (GGA-PBEsol).

abc: 4.140 4.140 4.348
angles: 90.00 90.00 120.00
Atoms (fractional coordinates):
Zn1 0.000 0.000 0.000
Si1 0.667 0.333 0.000
Pb1 0.333 0.667 0.500

Values from the calculation:
Spin magnetization: 0.000 μB per formula unit

## x
Entry from Alexandria: ZnSiPb after structural relaxation (GGA-PBEsol).

abc: 6.131 6.126 3.277
angles: 74.58 74.41 31.01
Atoms (fractional coordinates):
Zn1 0.000 0.000 0.000
Si1 0.396 0.396 0.604
Pb1 0.698 0.698 0.302

Values from the calculation:
Spin magnetization: 0.000 μB per formula unit

Most stable to least stable, the ends of the list are w and x.